Density functional theory data (PBE with a Hubbard U) for crystalline TaZn2CrO6 at its relaxed geometry.

Lattice parameters (Å, degrees): 7.6809 5.2468 5.3201 89.11 90.00 90.00
Last column: nearest neighbours and their distance in Å.
Atoms (fractional coordinates):
Ta  0.0000  0.0000  0.5000  6 O 1.97-2.05
Ta  0.5000  0.0000  0.5000  6 O 1.97-2.05
Zn  0.2500  0.9847  0.9843  3 O 2.00-2.03
Zn  0.2500  0.4960  0.4547  4 O 2.06-2.10
Zn  0.7500  0.5040  0.5453  4 O 2.06-2.10
Zn  0.7500  0.0153  0.0157  3 O 2.00-2.03
Cr  0.0000  0.5000  0.0000  6 O 2.02-2.06
Cr  0.5000  0.5000  0.0000  6 O 2.02-2.06
O  0.5631  0.8292  0.8202  1 Ta 1.97, 1 Cr 2.02, 1 Zn 2.03
O  0.4363  0.3193  0.6759  1 Ta 1.99, 1 Cr 2.04, 1 Zn 2.06
O  0.4369  0.1708  0.1798  1 Ta 1.97, 1 Cr 2.02, 1 Zn 2.03
O  0.9363  0.6807  0.3241  1 Ta 1.99, 1 Cr 2.04, 1 Zn 2.06
O  0.7500  0.1206  0.4378  2 Ta 2.05, 1 Zn 2.10
O  0.5637  0.6807  0.3241  1 Ta 1.99, 1 Cr 2.04, 1 Zn 2.06
O  0.0637  0.3193  0.6759  1 Ta 1.99, 1 Cr 2.04, 1 Zn 2.06
O  0.9369  0.8292  0.8202  1 Ta 1.97, 1 Cr 2.02, 1 Zn 2.03
O  0.2500  0.6145  0.0795  2 Zn 2.00-2.08, 2 Cr 2.06
O  0.0631  0.1708  0.1798  1 Ta 1.97, 1 Cr 2.02, 1 Zn 2.03
O  0.7500  0.3855  0.9205  2 Zn 2.00-2.08, 2 Cr 2.06
O  0.2500  0.8794  0.5622  2 Ta 2.05, 1 Zn 2.10

Space-group type ... P2_1/m
Electronic total energy ... -7.145 eV per atom
Total magnetization ... 6.0 Bohr magnetons per cell